# YScTl2Si, relaxed, DFT PBE
# V ... 175.9 Å³ per cell
# E_tot ... -3.45 eV per atom
# Formation energy without anion corrections ... 1145 meV/atom
data_YScTl2Si
_chemical_formula_sum 'Y1 Sc1 Tl2 Si1'
_cell_length_a 5.740
_cell_length_b 5.339
_cell_length_c 5.740
_cell_angle_alpha 90.00
_cell_angle_beta 90.00
_cell_angle_gamma 90.00
_symmetry_space_group_name_H-M 'P 1'
_symmetry_Int_Tables_number 1
loop_
_symmetry_equiv_pos_as_xyz
'x,y,z'
loop_
_atom_site_label
_atom_site_fract_x
_atom_site_fract_y
_atom_site_fract_z
Sc1 0.000 0.500 0.000
Si1 0.500 0.500 0.500
Tl1 0.500 0.000 0.000
Tl2 0.000 0.000 0.500
Y1 0.000 0.000 0.000

***

# Li2As2Pd5, relaxed, DFT PBE
# V ... 266.6 Å³ per cell
# ΔE_f ... -0.45 eV/atom
# E_tot ... -4.79 eV per atom
data_Li2As2Pd5
_chemical_formula_sum 'Li4 As4 Pd10'
_cell_length_a 4.733
_cell_length_b 7.318
_cell_length_c 8.846
_cell_angle_alpha 114.44
_cell_angle_beta 105.52
_cell_angle_gamma 90.00
_symmetry_space_group_name_H-M 'P 1'
_symmetry_Int_Tables_number 1
loop_
_symmetry_equiv_pos_as_xyz
'x,y,z'
loop_
_atom_site_label
_atom_site_fract_x
_atom_site_fract_y
_atom_site_fract_z
As1 0.500 0.386 0.000
Pd1 0.314 0.624 0.830
Li1 0.508 0.132 0.161
Pd2 0.824 0.268 0.500
Pd3 0.984 0.294 0.170
Li2 0.492 0.971 0.839
Li3 0.847 0.471 0.839
Pd4 0.016 0.124 0.830
Li4 0.153 0.632 0.161
As2 0.692 0.928 0.500
As3 0.000 0.886 0.000
Pd5 0.176 0.768 0.500
Pd6 0.766 0.705 0.676
Pd7 0.590 0.529 0.324
Pd8 0.410 0.205 0.676
As4 0.308 0.428 0.500
Pd9 0.686 0.794 0.170
Pd10 0.234 0.029 0.324

***

# Cs4Ac3PmS8, relaxed, DFT PBE
# V ... 550.2 Å³ per cell
# E_tot ... -5.20 eV per atom
# Formation energy without anion corrections ... -1852 meV/atom
data_Cs4Ac3PmS8
_chemical_formula_sum 'Cs4 Ac3 Pm1 S8'
_cell_length_a 8.849
_cell_length_b 9.587
_cell_length_c 8.849
_cell_angle_alpha 117.48
_cell_angle_beta 120.00
_cell_angle_gamma 90.00
_symmetry_space_group_name_H-M 'P 1'
_symmetry_Int_Tables_number 1
loop_
_symmetry_equiv_pos_as_xyz
'x,y,z'
loop_
_atom_site_label
_atom_site_fract_x
_atom_site_fract_y
_atom_site_fract_z
S1 0.224 0.689 0.448
S2 0.731 0.694 0.462
S3 0.259 0.311 0.035
Cs1 0.000 0.000 0.000
S4 0.269 0.306 0.538
Ac1 0.500 0.500 0.500
S5 0.776 0.311 0.035
Pm1 0.000 0.500 0.000
S6 0.776 0.311 0.552
S7 0.741 0.689 0.965
Cs2 0.000 0.000 0.500
Ac2 0.000 0.500 0.500
Cs3 0.500 0.000 0.000
S8 0.224 0.689 0.965
Ac3 0.500 0.500 0.000
Cs4 0.500 0.000 0.500

***

# AsIr2, relaxed, DFT PBE
# V ... 91.7 Å³ per cell
# ΔE_f ... 0.11 eV/atom
# E_tot ... -7.35 eV per atom
data_AsIr2
_chemical_formula_sum 'As2 Ir4'
_cell_length_a 5.548
_cell_length_b 5.548
_cell_length_c 6.253
_cell_angle_alpha 70.26
_cell_angle_beta 70.26
_cell_angle_gamma 30.58
_symmetry_space_group_name_H-M 'P 1'
_symmetry_Int_Tables_number 1
loop_
_symmetry_equiv_pos_as_xyz
'x,y,z'
loop_
_atom_site_label
_atom_site_fract_x
_atom_site_fract_y
_atom_site_fract_z
Ir1 0.566 0.566 0.154
Ir2 0.871 0.871 0.499
As1 0.800 0.800 0.171
Ir3 0.129 0.129 0.501
As2 0.200 0.200 0.829
Ir4 0.434 0.434 0.846

***

# Pu2AlRe, relaxed, DFT PBE
# V ... 65.3 Å³ per cell
# ΔE_f ... 0.33 eV/atom
# E_tot ... -10.88 eV per atom
data_Pu2AlRe
_chemical_formula_sum 'Pu2 Al1 Re1'
_cell_length_a 5.124
_cell_length_b 3.571
_cell_length_c 3.571
_cell_angle_alpha 90.00
_cell_angle_beta 90.00
_cell_angle_gamma 90.00
_symmetry_space_group_name_H-M 'P 1'
_symmetry_Int_Tables_number 1
loop_
_symmetry_equiv_pos_as_xyz
'x,y,z'
loop_
_atom_site_label
_atom_site_fract_x
_atom_site_fract_y
_atom_site_fract_z
Pu1 0.000 0.500 0.000
Re1 0.500 0.000 0.000
Al1 0.500 0.500 0.500
Pu2 0.000 0.000 0.500

***

# HfSe, relaxed, DFT PBE
# V ... 169.9 Å³ per cell
# E_tot ... -7.64 eV per atom
# Formation energy without anion corrections ... -922 meV/atom
data_HfSe
_chemical_formula_sum 'Hf4 Se4'
_cell_length_a 5.269
_cell_length_b 3.515
_cell_length_c 9.482
_cell_angle_alpha 90.00
_cell_angle_beta 104.72
_cell_angle_gamma 90.00
_symmetry_space_group_name_H-M 'P 1'
_symmetry_Int_Tables_number 1
loop_
_symmetry_equiv_pos_as_xyz
'x,y,z'
loop_
_atom_site_label
_atom_site_fract_x
_atom_site_fract_y
_atom_site_fract_z
Se1 0.899 0.500 0.822
Se2 0.446 0.000 0.974
Hf1 0.363 0.500 0.741
Hf2 0.363 0.000 0.241
Hf3 0.821 0.000 0.599
Hf4 0.821 0.500 0.099
Se3 0.446 0.500 0.474
Se4 0.899 0.000 0.322

***

# CdFe2P, relaxed, DFT PBE
# V ... 118.8 Å³ per cell
# ΔE_f ... 0.27 eV/atom
# E_tot ... -5.54 eV per atom
data_CdFe2P
_chemical_formula_sum 'Cd2 Fe4 P2'
_cell_length_a 6.659
_cell_length_b 6.659
_cell_length_c 5.417
_cell_angle_alpha 52.07
_cell_angle_beta 52.07
_cell_angle_gamma 90.00
_symmetry_space_group_name_H-M 'P 1'
_symmetry_Int_Tables_number 1
loop_
_symmetry_equiv_pos_as_xyz
'x,y,z'
loop_
_atom_site_label
_atom_site_fract_x
_atom_site_fract_y
_atom_site_fract_z
P1 0.250 0.750 0.500
Cd1 0.750 0.250 0.500
Fe1 0.375 0.445 0.750
Cd2 0.000 0.000 0.000
Fe2 0.555 0.125 0.250
P2 0.500 0.500 0.000
Fe3 0.195 0.625 0.250
Fe4 0.875 0.805 0.750

***

# PrSc2Co9, relaxed, DFT PBE
# V ... 167.7 Å³ per cell
# ΔE_f ... -0.20 eV/atom
# E_tot ... -6.98 eV per atom
data_PrSc2Co9
_chemical_formula_sum 'Pr1 Sc2 Co9'
_cell_length_a 4.941
_cell_length_b 4.941
_cell_length_c 8.430
_cell_angle_alpha 72.96
_cell_angle_beta 72.96
_cell_angle_gamma 60.00
_symmetry_space_group_name_H-M 'P 1'
_symmetry_Int_Tables_number 1
loop_
_symmetry_equiv_pos_as_xyz
'x,y,z'
loop_
_atom_site_label
_atom_site_fract_x
_atom_site_fract_y
_atom_site_fract_z
Co1 0.664 0.664 0.007
Pr1 0.000 0.000 0.000
Co2 0.411 0.411 0.255
Co3 0.589 0.589 0.745
Co4 0.336 0.336 0.993
Co5 0.078 0.589 0.745
Co6 0.589 0.078 0.745
Co7 0.411 0.922 0.255
Sc1 0.858 0.858 0.426
Co8 0.500 0.500 0.500
Sc2 0.142 0.142 0.574
Co9 0.922 0.411 0.255

***

# CaHf2Si, relaxed, DFT PBE
# V ... 184.0 Å³ per cell
# E_tot ... -6.41 eV per atom
# Formation energy without anion corrections ... 418 meV/atom
data_CaHf2Si
_chemical_formula_sum 'Ca2 Hf4 Si2'
_cell_length_a 4.231
_cell_length_b 4.231
_cell_length_c 10.707
_cell_angle_alpha 78.60
_cell_angle_beta 78.60
_cell_angle_gamma 90.00
_symmetry_space_group_name_H-M 'P 1'
_symmetry_Int_Tables_number 1
loop_
_symmetry_equiv_pos_as_xyz
'x,y,z'
loop_
_atom_site_label
_atom_site_fract_x
_atom_site_fract_y
_atom_site_fract_z
Si1 0.500 0.500 0.000
Hf1 0.375 0.851 0.750
Hf2 0.149 0.125 0.250
Ca1 0.000 0.000 0.000
Hf3 0.875 0.399 0.750
Hf4 0.601 0.625 0.250
Si2 0.250 0.750 0.500
Ca2 0.750 0.250 0.500

***

# YSbOs3, relaxed, DFT PBE
# V ... 116.9 Å³ per cell
# E_tot ... -6.13 eV per atom
# Formation energy without anion corrections ... 2729 meV/atom
data_YSbOs3
_chemical_formula_sum 'Y1 Sb1 Os3'
_cell_length_a 4.889
_cell_length_b 4.889
_cell_length_c 4.889
_cell_angle_alpha 90.00
_cell_angle_beta 90.00
_cell_angle_gamma 90.00
_symmetry_space_group_name_H-M 'P 1'
_symmetry_Int_Tables_number 1
loop_
_symmetry_equiv_pos_as_xyz
'x,y,z'
loop_
_atom_site_label
_atom_site_fract_x
_atom_site_fract_y
_atom_site_fract_z
Os1 0.000 0.500 0.000
Sb1 0.500 0.500 0.500
Y1 0.000 0.000 0.000
Os2 0.000 0.000 0.500
Os3 0.500 0.000 0.000

***

# Ba3TbHo3Se8, relaxed, DFT PBE
# V ... 460.4 Å³ per cell
# E_tot ... -5.39 eV per atom
# Formation energy without anion corrections ... -1920 meV/atom
data_Ba3TbHo3Se8
_chemical_formula_sum 'Ba3 Tb1 Ho3 Se8'
_cell_length_a 8.404
_cell_length_b 8.406
_cell_length_c 8.954
_cell_angle_alpha 118.00
_cell_angle_beta 90.00
_cell_angle_gamma 120.00
_symmetry_space_group_name_H-M 'P 1'
_symmetry_Int_Tables_number 1
loop_
_symmetry_equiv_pos_as_xyz
'x,y,z'
loop_
_atom_site_label
_atom_site_fract_x
_atom_site_fract_y
_atom_site_fract_z
Se1 0.239 0.972 0.711
Se2 0.267 0.028 0.289
Ho1 0.000 0.500 0.500
Ba1 0.000 0.000 0.000
Se3 0.761 0.028 0.289
Se4 0.239 0.478 0.711
Ba2 0.500 0.500 0.000
Se5 0.761 0.522 0.289
Tb1 0.000 0.000 0.500
Ho2 0.500 0.000 0.500
Se6 0.733 0.972 0.711
Ho3 0.500 0.500 0.500
Se7 0.737 0.474 0.711
Se8 0.263 0.526 0.289
Ba3 0.000 0.500 0.000

***

# BaSr6Ca3, relaxed, DFT PBE
# V ... 1030.5 Å³ per cell
# ΔE_f ... 0.02 eV/atom
# E_tot ... -1.78 eV per atom
data_BaSr6Ca3
_chemical_formula_sum 'Ba2 Sr12 Ca6'
_cell_length_a 15.104
_cell_length_b 9.281
_cell_length_c 8.388
_cell_angle_alpha 102.87
_cell_angle_beta 98.57
_cell_angle_gamma 111.61
_symmetry_space_group_name_H-M 'P 1'
_symmetry_Int_Tables_number 1
loop_
_symmetry_equiv_pos_as_xyz
'x,y,z'
loop_
_atom_site_label
_atom_site_fract_x
_atom_site_fract_y
_atom_site_fract_z
Ca1 0.000 0.000 0.500
Sr1 0.900 0.299 0.298
Ca2 0.500 0.500 0.000
Ba1 0.000 0.000 0.000
Sr2 0.198 0.401 0.398
Sr3 0.705 0.904 0.402
Ba2 0.500 0.500 0.500
Sr4 0.200 0.398 0.900
Sr5 0.802 0.599 0.602
Ca3 0.300 0.098 0.097
Sr6 0.604 0.197 0.705
Sr7 0.402 0.801 0.804
Sr8 0.295 0.096 0.598
Sr9 0.800 0.602 0.100
Ca4 0.098 0.698 0.198
Sr10 0.396 0.803 0.295
Ca5 0.700 0.902 0.903
Sr11 0.598 0.199 0.196
Sr12 0.100 0.701 0.702
Ca6 0.902 0.302 0.802

***

Please write out number 8 again, unchanged.
# PrSc2Co9, relaxed, DFT PBE
# V ... 167.7 Å³ per cell
# ΔE_f ... -0.20 eV/atom
# E_tot ... -6.98 eV per atom
data_PrSc2Co9
_chemical_formula_sum 'Pr1 Sc2 Co9'
_cell_length_a 4.941
_cell_length_b 4.941
_cell_length_c 8.430
_cell_angle_alpha 72.96
_cell_angle_beta 72.96
_cell_angle_gamma 60.00
_symmetry_space_group_name_H-M 'P 1'
_symmetry_Int_Tables_number 1
loop_
_symmetry_equiv_pos_as_xyz
'x,y,z'
loop_
_atom_site_label
_atom_site_fract_x
_atom_site_fract_y
_atom_site_fract_z
Co1 0.664 0.664 0.007
Pr1 0.000 0.000 0.000
Co2 0.411 0.411 0.255
Co3 0.589 0.589 0.745
Co4 0.336 0.336 0.993
Co5 0.078 0.589 0.745
Co6 0.589 0.078 0.745
Co7 0.411 0.922 0.255
Sc1 0.858 0.858 0.426
Co8 0.500 0.500 0.500
Sc2 0.142 0.142 0.574
Co9 0.922 0.411 0.255

***

Which formula does entry 11 have? Ba3TbHo3Se8